First-principles (GGA-PBE) data for a relaxed MgRuPt2 crystal, as listed in Alexandria.

a b c (Å): 4.456 4.456 4.456
angles (deg): 60.00 60.00 60.00
Site moments in Bohr magnetons follow the coordinates.
Positions (direct):
Mg  0.500  0.500  0.500  0.00
Pt  0.000  0.000  0.000  0.37
Pt  0.250  0.250  0.250  0.16
Ru  0.750  0.750  0.750  1.50

Properties
**Energy of formation**: -0.12 eV per atom